No. 1
Computed, not measured: a relaxed SrCrRePb2 crystal at the PBE level of DFT.

Computed properties:
Calculated formation energy, meV/atom: 1515.8
E, eV per atom: -4.718
DOS(E_F), states/eV per cell: 11.6
Crystal system: tetragonal

Cell lengths 5.3164, 5.6940, 5.3164 Å; angles 90.00, 90.00, 90.00 degrees
Positions (direct):
1 Sr 0.0000 0.5000 0.0000
2 Pb 0.0000 0.0000 0.5000
3 Pb 0.5000 0.0000 0.0000
4 Cr 0.5000 0.5000 0.5000
5 Re 0.0000 0.0000 0.0000


No. 2
Computed, not measured: a relaxed SrCrRe2Pb crystal at the PBE level of DFT.

Computed properties:
Calculated formation energy, meV/atom: 1127.5
E, eV per atom: -6.854
DOS(E_F), states/eV per cell: 5.7
Crystal system: tetragonal

Cell lengths 4.6598, 5.1273, 4.6598 Å; angles 90.00, 90.00, 90.00 degrees
Positions (direct):
1 Re 0.0000 0.0000 0.5000
2 Re 0.5000 0.0000 0.0000
3 Pb 0.0000 0.5000 0.0000
4 Sr 0.5000 0.5000 0.5000
5 Cr 0.0000 0.0000 0.0000


No. 3
Computed, not measured: a relaxed TlCrRe2Pb crystal at the PBE level of DFT.

Computed properties:
Calculated formation energy, meV/atom: 2802.1
E, eV per atom: -5.317
DOS(E_F), states/eV per cell: 5.6
Crystal system: tetragonal

Cell lengths 5.0343, 4.8476, 5.0343 Å; angles 90.00, 90.00, 90.00 degrees
Positions (direct):
1 Re 0.0000 0.0000 0.5000
2 Re 0.5000 0.0000 0.0000
3 Pb 0.0000 0.0000 0.0000
4 Cr 0.0000 0.5000 0.0000
5 Tl 0.5000 0.5000 0.5000


No. 4
Computed, not measured: a relaxed CrRh4Pb crystal at the PBE level of DFT.

Computed properties:
Calculated formation energy, meV/atom: 268.5
E, eV per atom: -6.854
DOS(E_F), states/eV per cell: 10.2
Crystal system: cubic

Cell lengths 5.2166, 5.2166, 5.2166 Å; angles 60.00, 60.00, 60.00 degrees
Positions (direct):
1 Cr 0.7500 0.7500 0.7500
2 Rh 0.3752 0.3752 0.8743
3 Rh 0.3752 0.3752 0.3752
4 Rh 0.3752 0.8743 0.3752
5 Rh 0.8743 0.3752 0.3752
6 Pb 0.0000 0.0000 0.0000